Compound: Li2AcPb2Au
Source: Alexandria
Functional: PBE
Structure: relaxed

Properties
* space group: I4/mmm (139)
* N(E_F): 1.91 states/eV/cell
* magnetization: 0.00 μB per atom
* total DFT energy (no corrections): -3.34 eV/atom
* calculated volume: 26.36 Å³/atom

Cell lengths 4.9705, 4.9705, 7.3035 Å; angles 109.89, 109.89, 90.00 degrees
Element x y z (fractional)
Li 0.8189 0.8189 0.6377
Li 0.1811 0.1811 0.3623
Pb 0.2500 0.7500 0.5000
Pb 0.7500 0.2500 0.5000
Au 0.0000 0.0000 0.0000
Ac 0.5000 0.5000 0.0000